The following is a DFT calculation (GGA-PBE) of Zr6PtRh after structural relaxation.

a b c (Å): 5.4462 5.4542 5.4611
angles (deg): 88.37 88.38 87.85
Closest atoms and distances in Å follow each position.
Fractional coordinates of all 8 atoms:
Zr: 0.0045 0.4926 0.2498  2 Zr 2.73-2.74, 1 Rh 2.98, 1 Pt 2.99
Zr: 0.2502 0.9947 0.0072  2 Zr 2.72-2.73, 1 Pt 2.98, 1 Rh 2.98
Zr: 0.4888 0.7502 0.5045  2 Zr 2.73, 1 Rh 2.95, 1 Pt 3.00
Zr: 0.5112 0.2498 0.4955  2 Zr 2.73, 1 Rh 2.95, 1 Pt 3.00
Zr: 0.7498 0.0053 0.9928  2 Zr 2.72-2.73, 1 Pt 2.98, 1 Rh 2.98
Zr: 0.9955 0.5074 0.7502  2 Zr 2.73-2.74, 1 Rh 2.98, 1 Pt 2.99
Pt: 0.5000 0.5000 0.0000  12 Zr 2.98-3.12
Rh: 0.0000 0.0000 0.5000  12 Zr 2.95-3.14

Results
D(E_F): 9.8 states/eV per cell
DFT total energy: -8.530 eV/atom
energy above the lowest structure with this stoichiometry: 31 meV/atom
energy of formation: -0.45 eV/atom